1.
{
  "formula": "Ac2TbNd4",
  "functional": "PBE",
  "state": "optimized geometry",
  "e_above_lowest_polymorph_mev_per_atom": 0,
  "ef_mev_per_atom": 36,
  "lattice": [[-0.1255, 0.0926, -5.3422], [5.4104, -2.0957, -2.8297], [-4.1994, -7.3137, -0.0312]],
  "species": ["Ac", "Ac", "Tb", "Nd", "Nd", "Nd", "Nd"],
  "fractional_positions": [[0.7122, 0.5759, 0.8543], [0.2878, 0.4241, 0.1457], [0.0000, 0.0000, 0.0000], [0.4278, 0.1445, 0.7072], [0.1407, 0.7187, 0.5733], [0.5722, 0.8555, 0.2928], [0.8593, 0.2813, 0.4267]]
}

---

2.
{
  "formula": "CaPm3Hg4",
  "functional": "PBE",
  "state": "optimized geometry",
  "ef_mev_per_atom": -509,
  "lattice": [[-4.2799, -0.0091, -3.2181], [3.9301, -4.0403, -5.2154], [-3.3738, -9.1068, 4.5126]],
  "species": ["Ca", "Ca", "Hg", "Hg", "Hg", "Hg", "Hg", "Hg", "Hg", "Hg", "Pm", "Pm", "Pm", "Pm", "Pm", "Pm"],
  "fractional_positions": [[0.0000, 0.5000, 0.0000], [0.0000, 0.5000, 0.5000], [0.5000, 0.7488, 0.0000], [0.5000, 0.7488, 0.5000], [0.5000, 0.2512, 0.0000], [0.5000, 0.2512, 0.5000], [0.0000, 0.7488, 0.7500], [0.0000, 0.7488, 0.2500], [0.0000, 0.2512, 0.2500], [0.0000, 0.2512, 0.7500], [0.0000, 0.0000, 0.0000], [0.0000, 0.0000, 0.5000], [0.5000, 0.0000, 0.7500], [0.5000, 0.0000, 0.2500], [0.5000, 0.5000, 0.7500], [0.5000, 0.5000, 0.2500]]
}

---

3.
{
  "formula": "Rb3Mg2CuCl9",
  "functional": "PBE",
  "state": "optimized geometry",
  "e_form_raw_ev_per_atom": -1.60,
  "lattice": [[-0.4738, -5.9073, 3.9037], [6.2381, 3.3149, -0.6769], [-1.7881, 4.8055, 7.0549]],
  "species": ["Rb", "Rb", "Rb", "Mg", "Mg", "Cu", "Cl", "Cl", "Cl", "Cl", "Cl", "Cl", "Cl", "Cl", "Cl"],
  "fractional_positions": [[0.3333, 0.6667, 0.6625], [0.0000, 0.0000, 0.0000], [0.6667, 0.3333, 0.3375], [0.3333, 0.6667, 0.1669], [0.6667, 0.3333, 0.8331], [0.0000, 0.0000, 0.5000], [0.8348, 0.1652, 0.6629], [0.8348, 0.6697, 0.6629], [0.3303, 0.1652, 0.6629], [0.6697, 0.8348, 0.3371], [0.1652, 0.3303, 0.3371], [0.1652, 0.8348, 0.3371], [0.5000, 0.0000, 0.0000], [0.0000, 0.5000, 0.0000], [0.5000, 0.5000, 0.0000]]
}

---

4.
{
  "formula": "K2HgBi",
  "functional": "PBE",
  "state": "optimized geometry",
  "e_above_lowest_polymorph_mev_per_atom": 48,
  "ef_mev_per_atom": -235,
  "lattice": [[-2.3535, -0.5654, 5.4826], [-1.9170, 4.8501, 2.9528], [-5.8693, 0.8681, 0.8456]],
  "species": ["K", "K", "Bi", "Hg"],
  "fractional_positions": [[0.2500, 0.2500, 0.2500], [0.7500, 0.7500, 0.7500], [0.5000, 0.5000, 0.5000], [0.0000, 0.0000, 0.0000]]
}

---

5.
{
  "formula": "AcLaEuBi",
  "functional": "PBE",
  "state": "optimized geometry",
  "ef_mev_per_atom": -215,
  "lattice": [[5.8623, 0.0000, 0.0000], [2.9311, 5.0769, 0.0000], [2.9311, 1.6923, 4.7865]],
  "species": ["Eu", "Ac", "Bi", "La"],
  "fractional_positions": [[0.2500, 0.2500, 0.2500], [0.0000, 0.0000, 0.0000], [0.5000, 0.5000, 0.5000], [0.7500, 0.7500, 0.7500]]
}

---

6.
{
  "formula": "SmMgAl2",
  "functional": "PBE",
  "state": "optimized geometry",
  "e_above_lowest_polymorph_mev_per_atom": 124,
  "ef_mev_per_atom": -191,
  "lattice": [[4.9891, 0.0000, 0.0000], [2.4946, 4.3207, 0.0000], [2.4946, 1.4402, 4.0736]],
  "species": ["Mg", "Al", "Al", "Sm"],
  "fractional_positions": [[0.5000, 0.5000, 0.5000], [0.2500, 0.2500, 0.2500], [0.7500, 0.7500, 0.7500], [0.0000, 0.0000, 0.0000]]
}

---

7.
{
  "formula": "Pr2Mg3Pd2",
  "functional": "PBE",
  "state": "optimized geometry",
  "e_above_lowest_polymorph_mev_per_atom": 52,
  "ef_mev_per_atom": -502,
  "lattice": [[4.1285, 0.0000, 0.0000], [-2.0643, 5.3623, 0.1598], [0.0000, -1.0246, 7.6061]],
  "species": ["Pr", "Pr", "Mg", "Mg", "Mg", "Pd", "Pd"],
  "fractional_positions": [[0.6254, 0.2509, 0.3514], [0.3746, 0.7491, 0.6486], [0.3192, 0.6384, 0.1344], [0.0000, 0.0000, 0.0000], [0.6808, 0.3616, 0.8656], [0.0908, 0.1816, 0.6518], [0.9092, 0.8184, 0.3482]]
}

---

8.
{
  "formula": "NdHo6Er3Sc2",
  "functional": "PBE",
  "state": "optimized geometry",
  "ef_mev_per_atom": 37,
  "lattice": [[6.0376, 0.0019, 0.0088], [-3.0157, 5.2305, 0.0088], [-1.0182, -1.7630, 11.3923]],
  "species": ["Nd", "Ho", "Ho", "Ho", "Ho", "Ho", "Ho", "Er", "Er", "Er", "Sc", "Sc"],
  "fractional_positions": [[0.0000, 0.0000, 0.0000], [0.9167, 0.5808, 0.7524], [0.7471, 0.7471, 0.2475], [0.0833, 0.4192, 0.2476], [0.5808, 0.9167, 0.7524], [0.2529, 0.2529, 0.7525], [0.4192, 0.0833, 0.2476], [0.1672, 0.8328, 0.5000], [0.8328, 0.1672, 0.5000], [0.5000, 0.5000, 0.5000], [0.3333, 0.6667, 0.0000], [0.6667, 0.3333, 0.0000]]
}

---

Per-record E_tot, eV/atom: -4.52; -2.69; -3.39; -1.83; -6.01; -3.64; -4.03; -4.85